{
  "formula": "CsKCO3",
  "functional": "PBE",
  "state": "optimized geometry",
  "lattice_angstrom": [[6.129, 0.000, 0.000], [-3.064, 5.307, 0.000], [0.000, 0.000, 6.903]],
  "species": ["Cs", "Cs", "K", "K", "C", "C", "O", "O", "O", "O", "O", "O"],
  "frac_coords": [[0.333, 0.667, 0.250], [0.667, 0.333, 0.750], [0.000, 0.000, 0.000], [0.000, 0.000, 0.500], [0.333, 0.667, 0.750], [0.667, 0.333, 0.250], [0.210, 0.420, 0.750], [0.210, 0.790, 0.750], [0.420, 0.210, 0.250], [0.580, 0.790, 0.750], [0.790, 0.210, 0.250], [0.790, 0.580, 0.250]],
  "total_magnetization_mub_per_cell": 0.0,
  "total_energy_ev_per_atom": -6.089
}


{
  "formula": "TiCdIO2",
  "functional": "PBE",
  "state": "optimized geometry",
  "lattice_angstrom": [[3.989, 0.000, 0.000], [0.000, 3.989, 0.000], [0.000, 0.000, 5.866]],
  "species": ["Ti", "Cd", "I", "O", "O"],
  "frac_coords": [[0.000, 0.000, 0.000], [0.500, 0.500, 0.500], [0.000, 0.000, 0.500], [0.000, 0.500, 0.000], [0.500, 0.000, 0.000]],
  "total_magnetization_mub_per_cell": 0.2,
  "total_energy_ev_per_atom": -5.302
}


{
  "formula": "Pm4Dy3Pt4",
  "functional": "PBE",
  "state": "optimized geometry",
  "lattice_angstrom": [[-1.925, 4.467, 8.296], [1.925, -4.467, 8.296], [1.925, 4.467, -8.296]],
  "species": ["Pm", "Pm", "Pm", "Pm", "Dy", "Dy", "Dy", "Pt", "Pt", "Pt", "Pt"],
  "frac_coords": [[0.022, 0.836, 0.186], [0.351, 0.164, 0.186], [0.649, 0.836, 0.814], [0.978, 0.164, 0.814], [0.000, 0.500, 0.500], [0.402, 0.402, 0.000], [0.598, 0.598, 0.000], [0.260, 0.760, 0.500], [0.306, 0.000, 0.306], [0.694, 0.000, 0.694], [0.740, 0.240, 0.500]],
  "formation_energy_ev_per_fu": -9.0,
  "total_magnetization_mub_per_cell": 0.0,
  "total_energy_ev_per_atom": -5.999
}


{
  "formula": "Pr4TePb2Se",
  "functional": "PBE",
  "state": "optimized geometry",
  "lattice_angstrom": [[7.835, 0.000, 0.000], [0.000, 4.502, 0.000], [-2.589, 0.000, 7.404]],
  "species": ["Pr", "Pr", "Pr", "Pr", "Te", "Pb", "Pb", "Se"],
  "frac_coords": [[0.241, 0.000, 0.244], [0.243, 0.500, 0.751], [0.757, 0.500, 0.249], [0.759, 0.000, 0.756], [0.500, 0.000, 0.000], [0.000, 0.000, 0.500], [0.500, 0.500, 0.500], [0.000, 0.500, 0.000]],
  "total_magnetization_mub_per_cell": 0.0,
  "total_energy_ev_per_atom": -5.245
}


Repeat the third record exactly.
{
  "formula": "Pm4Dy3Pt4",
  "functional": "PBE",
  "state": "optimized geometry",
  "lattice_angstrom": [[-1.925, 4.467, 8.296], [1.925, -4.467, 8.296], [1.925, 4.467, -8.296]],
  "species": ["Pm", "Pm", "Pm", "Pm", "Dy", "Dy", "Dy", "Pt", "Pt", "Pt", "Pt"],
  "frac_coords": [[0.022, 0.836, 0.186], [0.351, 0.164, 0.186], [0.649, 0.836, 0.814], [0.978, 0.164, 0.814], [0.000, 0.500, 0.500], [0.402, 0.402, 0.000], [0.598, 0.598, 0.000], [0.260, 0.760, 0.500], [0.306, 0.000, 0.306], [0.694, 0.000, 0.694], [0.740, 0.240, 0.500]],
  "formation_energy_ev_per_fu": -9.0,
  "total_magnetization_mub_per_cell": 0.0,
  "total_energy_ev_per_atom": -5.999
}